Record 1
First-principles (GGA-PBEsol) data for an optimized crystal structure of CrTeS2Cl, as listed in Alexandria.

Cell and atoms, written as CIF:
```
data_CrTeS2Cl
_chemical_formula_sum 'Cr1 Te1 S2 Cl1'
_space_group_name_H-M_alt 'P 1'
_space_group_IT_number 1
_space_group_name_Hall 'P 1'
_cell_length_a 5.024
_cell_length_b 5.024
_cell_length_c 5.109
_cell_angle_alpha 90.00
_cell_angle_beta 90.00
_cell_angle_gamma 90.00
loop_
_atom_site_label
_atom_site_type_symbol
_atom_site_fract_x
_atom_site_fract_y
_atom_site_fract_z
S1 S 0.000 0.500 0.000
Cl1 Cl 0.000 0.000 0.500
Cr1 Cr 0.500 0.500 0.500
S2 S 0.500 0.000 0.000
Te1 Te 0.000 0.000 0.000
```

DOS(E_F): 1.091 states/eV/atom
E_form (uncorrected): 0.596 eV/atom
Total moment: 0.95 μB per atom
SG: P4/mmm (123)

Record 2
First-principles (GGA-PBEsol) data for an optimized crystal structure of CrTeSCl2, as listed in Alexandria.

Cell and atoms, written as CIF:
```
data_CrTeSCl2
_chemical_formula_sum 'Cr1 Te1 S1 Cl2'
_space_group_name_H-M_alt 'P 1'
_space_group_IT_number 1
_space_group_name_Hall 'P 1'
_cell_length_a 4.558
_cell_length_b 4.558
_cell_length_c 4.939
_cell_angle_alpha 90.00
_cell_angle_beta 90.00
_cell_angle_gamma 90.00
loop_
_atom_site_label
_atom_site_type_symbol
_atom_site_fract_x
_atom_site_fract_y
_atom_site_fract_z
Cr1 Cr 0.000 0.000 0.000
Te1 Te 0.500 0.500 0.500
Cl1 Cl 0.500 0.000 0.000
Cl2 Cl 0.000 0.500 0.000
S1 S 0.000 0.000 0.500
```

DOS(E_F): 0.710 states/eV/atom
E_form (uncorrected): -0.167 eV/atom
Total moment: 0.58 μB per atom
SG: P4/mmm (123)

Record 3
First-principles (GGA-PBEsol) data for an optimized crystal structure of TlCrSCl2, as listed in Alexandria.

Cell and atoms, written as CIF:
```
data_TlCrSCl2
_chemical_formula_sum 'Tl1 Cr1 S1 Cl2'
_space_group_name_H-M_alt 'P 1'
_space_group_IT_number 1
_space_group_name_Hall 'P 1'
_cell_length_a 5.068
_cell_length_b 5.183
_cell_length_c 5.183
_cell_angle_alpha 90.00
_cell_angle_beta 90.00
_cell_angle_gamma 90.00
loop_
_atom_site_label
_atom_site_type_symbol
_atom_site_fract_x
_atom_site_fract_y
_atom_site_fract_z
Cl1 Cl 0.000 0.500 0.000
S1 S 0.500 0.000 0.000
Cr1 Cr 0.500 0.500 0.500
Tl1 Tl 0.000 0.000 0.000
Cl2 Cl 0.000 0.000 0.500
```

DOS(E_F): 1.227 states/eV/atom
E_form (uncorrected): 0.317 eV/atom
Total moment: 0.93 μB per atom
SG: P4/mmm (123)

Record 4
First-principles (GGA-PBEsol) data for an optimized crystal structure of CrWS2Cl, as listed in Alexandria.

Cell and atoms, written as CIF:
```
data_CrWS2Cl
_chemical_formula_sum 'Cr1 W1 S2 Cl1'
_space_group_name_H-M_alt 'P 1'
_space_group_IT_number 1
_space_group_name_Hall 'P 1'
_cell_length_a 4.363
_cell_length_b 4.606
_cell_length_c 4.606
_cell_angle_alpha 90.00
_cell_angle_beta 90.00
_cell_angle_gamma 90.00
loop_
_atom_site_label
_atom_site_type_symbol
_atom_site_fract_x
_atom_site_fract_y
_atom_site_fract_z
Cl1 Cl 0.500 0.000 0.000
W1 W 0.500 0.500 0.500
S1 S 0.000 0.000 0.500
Cr1 Cr 0.000 0.000 0.000
S2 S 0.000 0.500 0.000
```

DOS(E_F): 0.654 states/eV/atom
E_form (uncorrected): 0.808 eV/atom
Total moment: 1.37 μB per atom
SG: P4/mmm (123)